# GGA-PBEsol Tl3ReBr, relaxed
# spin magnetization: 0.0 μB/f.u.
# formation energy (no corrections): 0.474 eV per atom
data_Tl3ReBr
_chemical_formula_sum 'Tl3 Re1 Br1'
_cell_length_a 5.272
_cell_length_b 5.272
_cell_length_c 5.272
_cell_angle_alpha 90.00
_cell_angle_beta 90.00
_cell_angle_gamma 90.00
_space_group_name_H-M_alt 'P m -3 m'
_space_group_IT_number 221
_space_group_name_Hall '-P 4 2 3'
loop_
_atom_site_label
_atom_site_type_symbol
_atom_site_fract_x
_atom_site_fract_y
_atom_site_fract_z
Tl1 Tl 0.000 0.000 0.500
Re1 Re 0.000 0.000 0.000
Br1 Br 0.500 0.500 0.500